(1)
Below is an optimized crystal structure of Sc3IrI, with properties calculated at the GGA-PBEsol level.

```
data_Sc3IrI
_space_group_name_H-M_alt 'P 1'
_space_group_IT_number 1
_space_group_name_Hall 'P 1'
_cell_length_a 5.057
_cell_length_b 5.057
_cell_length_c 5.057
_cell_angle_alpha 90.00
_cell_angle_beta 90.00
_cell_angle_gamma 90.00
loop_
_atom_site_label
_atom_site_type_symbol
_atom_site_fract_x
_atom_site_fract_y
_atom_site_fract_z
_atom_site_occupancy
Sc1 Sc 0.000 0.000 0.500 1
Sc2 Sc 0.000 0.500 0.000 1
Sc3 Sc 0.500 0.000 0.000 1
Ir1 Ir 0.000 0.000 0.000 1
I1 I 0.500 0.500 0.500 1
```

Computed properties:
Theoretical density: 5.8 Mg/m³
D(E_F): 5.160 states/eV/f.u.
Space-group type: Pm-3m, No. 221
ΔE_f (raw): -0.36 eV per atom

=====

(2)
Below is an optimized crystal structure of Ir3SeI, with properties calculated at the GGA-PBEsol level.

```
data_Ir3SeI
_space_group_name_H-M_alt 'P 1'
_space_group_IT_number 1
_space_group_name_Hall 'P 1'
_cell_length_a 4.814
_cell_length_b 4.814
_cell_length_c 4.814
_cell_angle_alpha 90.00
_cell_angle_beta 90.00
_cell_angle_gamma 90.00
loop_
_atom_site_label
_atom_site_type_symbol
_atom_site_fract_x
_atom_site_fract_y
_atom_site_fract_z
_atom_site_occupancy
Ir1 Ir 0.000 0.000 0.500 1
Ir2 Ir 0.000 0.500 0.000 1
Ir3 Ir 0.500 0.000 0.000 1
Se1 Se 0.500 0.500 0.500 1
I1 I 0.000 0.000 0.000 1
```

Computed properties:
Theoretical density: 11.6 Mg/m³
D(E_F): 7.853 states/eV/f.u.
Space-group type: Pm-3m, No. 221
ΔE_f (raw): 2.29 eV per atom

=====

(3)
Below is an optimized crystal structure of SrIrSeI2, with properties calculated at the GGA-PBEsol level.

```
data_SrIrSeI2
_space_group_name_H-M_alt 'P 1'
_space_group_IT_number 1
_space_group_name_Hall 'P 1'
_cell_length_a 6.161
_cell_length_b 6.161
_cell_length_c 5.786
_cell_angle_alpha 90.00
_cell_angle_beta 90.00
_cell_angle_gamma 90.00
loop_
_atom_site_label
_atom_site_type_symbol
_atom_site_fract_x
_atom_site_fract_y
_atom_site_fract_z
_atom_site_occupancy
Sr1 Sr 0.000 0.000 0.000 1
Ir1 Ir 0.500 0.500 0.500 1
Se1 Se 0.000 0.000 0.500 1
I1 I 0.000 0.500 0.000 1
I2 I 0.500 0.000 0.000 1
```

Computed properties:
Theoretical density: 4.6 Mg/m³
D(E_F): 7.730 states/eV/f.u.
Space-group type: P4/mmm, No. 123
ΔE_f (raw): 1.01 eV per atom